Here is a relaxed Sc4GeTe2Se crystal from Alexandria. Energies are from PBE.

Total DFT energy (no corrections)   -6.196 eV per atom
Formation energy (no corrections)   -1.232 eV/atom
SG   P2/m (10)
D(E_F)   0.478 states/eV/atom

Cell and atoms, written as POSCAR:
```
Sc4GeTe2Se
1.0
4.004 0.000 0.000
0.000 7.082 -0.189
0.000 2.445 6.482
Sc Ge Te Se
4 1 2 1
Cartesian
0.000 6.911 4.748
4.004 2.616 1.545
2.002 5.732 1.604
2.002 3.795 4.689
0.000 4.763 3.146
0.000 2.445 6.482
2.002 1.222 3.241
2.002 3.541 -0.095
```